[1]
{"formula": "SbSeOF2", "functional": "GGA-PBE", "state": "optimized geometry", "lattice_angstrom": [[-0.2270, -1.5997, 4.5308], [0.7011, -4.4983, -1.5531], [3.6429, 0.4499, 0.3414]], "species": ["Sb", "O", "Se", "F", "F"], "frac_coords": [[0.5000, 0.5000, 0.5000], [0.0000, 0.0000, 0.5000], [0.0000, 0.0000, 0.0000], [0.0000, 0.5000, 0.0000], [0.5000, 0.0000, 0.0000]], "relative_energy_mev_per_atom": 490, "n_ef_per_ev_cell": 3.30, "mass_density_g_cm3": 4.96, "total_energy_ev_per_atom": -3.663, "formation_energy_uncorrected_ev_per_atom": -0.40}

=====

[2]
{"formula": "InAgPb", "functional": "GGA-PBE", "state": "optimized geometry", "lattice_angstrom": [[-0.8116, -2.4830, 4.2132], [-3.1342, -0.4907, -3.8094], [1.9804, -2.8000, -1.2687]], "species": ["Pb", "Ag", "In"], "frac_coords": [[0.6667, 0.3333, 0.6821], [0.0000, 0.0000, 0.1394], [0.3333, 0.6667, 0.1785]], "n_ef_per_ev_cell": 2.35, "mass_density_g_cm3": 9.17, "total_energy_ev_per_atom": -3.018, "delta_e_f_ev_per_atom": 0.082}

=====

[3]
{"formula": "DyErGaCu", "functional": "GGA-PBE", "state": "optimized geometry", "lattice_angstrom": [[-1.7332, -3.3700, 3.2269], [0.2203, -4.8479, -1.1060], [3.1649, -2.9678, 2.4392]], "species": ["Dy", "Cu", "Ga", "Er"], "frac_coords": [[0.0000, 0.0000, 0.0000], [0.2500, 0.2500, 0.2500], [0.7500, 0.7500, 0.7500], [0.5000, 0.5000, 0.5000]], "n_ef_per_ev_cell": 3.14, "mass_density_g_cm3": 8.82, "total_energy_ev_per_atom": -4.496, "delta_e_f_ev_per_atom": -0.424}

=====

[4]
{"formula": "SrPm3Y2Te6", "functional": "GGA-PBE", "state": "optimized geometry", "lattice_angstrom": [[-1.5266, 3.9886, -1.2731], [-1.0930, -3.0906, -8.3716], [-7.7718, -3.8805, 4.9614]], "species": ["Sr", "Pm", "Pm", "Pm", "Y", "Y", "Te", "Te", "Te", "Te", "Te", "Te"], "frac_coords": [[0.5000, 0.0000, 0.0000], [0.5000, 0.5000, 0.0000], [0.8383, 0.1822, 0.6766], [0.1617, 0.8178, 0.3234], [0.8303, 0.6594, 0.6605], [0.1697, 0.3406, 0.3395], [0.3288, 0.9124, 0.6577], [0.6673, 0.5752, 0.3346], [0.6712, 0.0876, 0.3423], [0.0055, 0.2573, 0.0110], [0.9945, 0.7427, 0.9890], [0.3327, 0.4248, 0.6654]], "n_ef_per_ev_cell": 5.86, "mass_density_g_cm3": 6.42, "total_energy_ev_per_atom": -5.389, "formation_energy_uncorrected_ev_per_atom": -1.41}

=====

[5]
{"formula": "Cs5RbH6", "functional": "GGA-PBE", "state": "optimized geometry", "lattice_angstrom": [[-3.3966, 6.5281, 2.3809], [-3.9515, -6.6488, 0.0259], [4.6965, -1.2712, 6.0059]], "species": ["Cs", "Cs", "Cs", "Cs", "Cs", "Rb", "H", "H", "H", "H", "H", "H"], "frac_coords": [[0.8336, 0.1664, 0.5000], [0.6666, 0.3334, 0.0000], [0.5000, 0.5000, 0.5000], [0.3334, 0.6666, 0.0000], [0.1664, 0.8336, 0.5000], [0.0000, 0.0000, 0.0000], [0.4050, 0.0817, 0.2451], [0.9183, 0.5950, 0.7549], [0.2416, 0.2416, 0.7548], [0.7584, 0.7584, 0.2452], [0.0817, 0.4050, 0.2451], [0.5950, 0.9183, 0.7549]], "n_ef_per_ev_cell": 0.00, "mass_density_g_cm3": 3.33, "total_energy_ev_per_atom": -2.283}

=====

[6]
{"formula": "Ac2InSn", "functional": "GGA-PBE", "state": "optimized geometry", "lattice_angstrom": [[-3.0611, -3.4089, -0.0243], [0.9838, -0.8456, -5.3010], [3.9396, -3.5469, 1.2969]], "species": ["Ac", "Ac", "Sn", "In"], "frac_coords": [[0.0000, 0.0000, 0.5000], [0.0000, 0.5000, 0.0000], [0.5000, 0.0000, 0.0000], [0.5000, 0.5000, 0.5000]], "n_ef_per_ev_cell": 2.64, "mass_density_g_cm3": 8.37, "total_energy_ev_per_atom": -4.268, "delta_e_f_ev_per_atom": -0.528}

=====

[7]
{"formula": "BaBe2Te", "functional": "GGA-PBE", "state": "optimized geometry", "lattice_angstrom": [[-0.1920, 1.7575, -4.4460], [-3.9496, -2.5655, -0.8436], [-7.2967, 6.6503, 0.3694]], "species": ["Be", "Be", "Be", "Be", "Te", "Te", "Ba", "Ba"], "frac_coords": [[0.3749, 0.1250, 0.2500], [0.3751, 0.6250, 0.2500], [0.3750, 0.6251, 0.7500], [0.8750, 0.6249, 0.7500], [0.5000, 0.5000, 0.0000], [0.2500, 0.7500, 0.5000], [0.0000, 0.0000, 0.0000], [0.7500, 0.2500, 0.5000]], "n_ef_per_ev_cell": 3.56, "mass_density_g_cm3": 4.42, "total_energy_ev_per_atom": -3.072, "formation_energy_uncorrected_ev_per_atom": 0.06}

=====

[8]
{"formula": "ScPt2Rh", "functional": "GGA-PBE", "state": "optimized geometry", "lattice_angstrom": [[4.8924, 0.0004, -0.0057], [1.6065, 4.6212, 0.0057], [-3.2457, -2.3160, 2.8350]], "species": ["Pt", "Pt", "Rh", "Sc"], "frac_coords": [[0.0001, 0.0001, 0.0000], [0.7500, 0.2500, 0.5000], [0.4999, 0.4999, 0.0000], [0.2500, 0.7500, 0.5000]], "n_ef_per_ev_cell": 5.94, "mass_density_g_cm3": 13.94, "total_energy_ev_per_atom": -7.211, "delta_e_f_ev_per_atom": -0.769}

=====

[9]
{"formula": "CsTl2Pb", "functional": "GGA-PBE", "state": "optimized geometry", "lattice_angstrom": [[-2.4069, -2.9503, 1.3225], [-1.5420, -1.3293, -5.7719], [4.6610, -3.9526, -0.3349]], "species": ["Pb", "Cs", "Tl", "Tl"], "frac_coords": [[0.5000, 0.0000, 0.0000], [0.5000, 0.5000, 0.5000], [0.0000, 0.0000, 0.5000], [0.0000, 0.5000, 0.0000]], "relative_energy_mev_per_atom": 203, "n_ef_per_ev_cell": 1.91, "mass_density_g_cm3": 8.24, "total_energy_ev_per_atom": -2.228, "delta_e_f_ev_per_atom": 0.096}

=====

[10]
{"formula": "Ca2TlIrBr", "functional": "GGA-PBE", "state": "optimized geometry", "lattice_angstrom": [[5.9872, 0.0000, 0.0000], [0.0000, 4.9533, 0.0000], [0.0000, 0.0000, 5.9872]], "species": ["Tl", "Ir", "Ca", "Ca", "Br"], "frac_coords": [[0.0000, 0.0000, 0.0000], [0.0000, 0.5000, 0.0000], [0.0000, 0.0000, 0.5000], [0.5000, 0.0000, 0.0000], [0.5000, 0.5000, 0.5000]], "n_ef_per_ev_cell": 2.66, "mass_density_g_cm3": 5.21, "total_energy_ev_per_atom": -3.227, "formation_energy_uncorrected_ev_per_atom": 0.15}

=====

[11]
{"formula": "RbLaH2Ir", "functional": "GGA-PBE", "state": "optimized geometry", "lattice_angstrom": [[4.4587, 0.0000, 0.0000], [0.0000, 5.0721, 0.0000], [0.0000, 0.0000, 4.4587]], "species": ["H", "H", "Ir", "Rb", "La"], "frac_coords": [[0.0000, 0.0000, 0.5000], [0.5000, 0.0000, 0.0000], [0.0000, 0.0000, 0.0000], [0.5000, 0.5000, 0.5000], [0.0000, 0.5000, 0.0000]], "n_ef_per_ev_cell": 2.47, "mass_density_g_cm3": 6.89, "total_energy_ev_per_atom": -3.738}

=====

[12]
{"formula": "SrY2Zn", "functional": "GGA-PBE", "state": "optimized geometry", "lattice_angstrom": [[-0.7010, -4.6939, 1.9666], [3.7111, -0.1051, 1.0720], [0.2440, 2.5685, 6.2176]], "species": ["Sr", "Y", "Y", "Zn"], "frac_coords": [[0.5000, 0.7500, 0.7500], [0.0000, 0.0963, 0.0400], [0.0000, 0.4037, 0.4600], [0.5000, 0.2500, 0.2500]], "n_ef_per_ev_cell": 4.46, "mass_density_g_cm3": 4.28, "total_energy_ev_per_atom": -3.874, "delta_e_f_ev_per_atom": 0.097}